Compound: CrRe2H2
Source: Alexandria via LeMat-Bulk
Functional: PBE
Structure: optimized geometry

a = 2.858 Å, b = 2.858 Å, c = 6.157 Å
α = 76.58°, β = 76.58°, γ = 90.00°
Positions (direct):
H: 0.750 0.250 0.500
Re: 0.360 0.360 0.279
Cr: 0.000 0.000 0.000
Re: 0.640 0.640 0.721
H: 0.250 0.750 0.500

Computed properties:
E_tot = -7.988 eV per atom
Space-group type = I4/mmm